Record 1
The following is a PBE calculation of a geometry-optimized RuW2 structure, from Alexandria.

As for the formation energy from the elements: 246 meV/atom.

The structure belongs to space group I4/mmm (No. 139); the cell edges are 3.175, 3.175 and 9.319 Å and the angles 90.00°, 90.00° and 90.00°. The asymmetric unit holds Ru at (0.000, 0.000, 0.000) and W at (0.000, 0.000, 0.328).

=====

Record 2
The following is a PBE calculation of a geometry-optimized Ru4W5 structure, from Alexandria.

As for the formation energy from the elements: 145 meV/atom.

The structure belongs to space group I4/mmm (No. 139); the cell edges are 8.418, 8.418 and 3.881 Å and the angles 90.00°, 90.00° and 90.00°. The asymmetric unit holds Ru at (0.000, 0.344, 0.000), W at (0.000, 0.000, 0.000) and W at (0.172, 0.172, 0.500).

=====

Record 3
The following is a PBE calculation of a geometry-optimized RuW structure, from Alexandria.

As for the formation energy from the elements: 114 meV/atom.

The structure belongs to space group Pmmn (No. 59, origin choice 2); the cell edges are 2.745, 4.521 and 4.877 Å and the angles 90.00°, 90.00° and 90.00°. The asymmetric unit holds Ru at (0.250, 0.250, 0.095) and W at (0.250, 0.750, 0.389).

=====

Record 4
The following is a PBE calculation of a geometry-optimized Ru4W5 structure, from Alexandria.

As for the formation energy from the elements: 194 meV/atom.

The structure belongs to space group P6_3/mcm (No. 193); the cell edges are 7.6774, 7.6774 and 5.4113 Å and the angles 90.00°, 90.00° and 120.00°. The asymmetric unit holds Ru at (0.0000, 0.0000, 0.0000), Ru at (0.0000, 0.3268, 0.2500), W at (0.0000, 0.3346, 0.7500) and W at (0.3333, 0.6667, 0.0000).

=====

Record 5
The following is a PBE calculation of a geometry-optimized RuW structure, from Alexandria.

As for the formation energy from the elements: 1799 meV/atom.

The structure belongs to space group I-43m (No. 217); the cell edges are 7.780, 7.780 and 7.780 Å and the angles 90.00°, 90.00° and 90.00°. The asymmetric unit holds Ru at (0.177, 0.177, 0.177) and W at (0.133, 0.133, 0.867).

=====

Record 6
The following is a PBE calculation of a geometry-optimized RuW structure, from Alexandria.

As for the formation energy from the elements: 1190 meV/atom.

The structure belongs to space group I4/m (No. 87); the cell edges are 11.451, 11.451 and 2.704 Å and the angles 90.00°, 90.00° and 90.00°. The asymmetric unit holds Ru at (0.092, 0.738, 0.000) and W at (0.122, 0.244, 0.000).